Entry 1:
# Y2TmFe3Co6

Y2TmFe3Co6 after structural relaxation (PBE, OQMD via LeMat-Bulk).

Unit cell a=8.4162 b=8.4162 c=8.4162 alpha=35.05 beta=35.05 gamma=35.05
With the nearest neighbours (Å) after each atom.
Fractional coordinates of all 12 atoms:
Co 0.5812 0.5812 0.0813  3 Fe 2.41-2.50, 4 Co 2.53
Co 0.9187 0.4188 0.4188  3 Fe 2.41-2.50, 4 Co 2.53
Co 0.4188 0.9187 0.4188  3 Fe 2.41-2.50, 4 Co 2.53
Co 0.5812 0.0813 0.5812  3 Fe 2.41-2.50, 4 Co 2.53
Co 0.0813 0.5812 0.5812  3 Fe 2.41-2.50, 4 Co 2.53
Co 0.4188 0.4188 0.9187  3 Fe 2.41-2.50, 4 Co 2.53
Fe 0.3330 0.3330 0.3330  6 Co 2.41-2.42
Fe 0.5000 0.5000 0.5000  6 Co 2.50
Fe 0.6670 0.6670 0.6670  6 Co 2.41-2.42
Tm 0.0000 0.0000 0.0000  6 Fe 2.93, 12 Co 3.18
Y 0.1406 0.1406 0.1406  9 Co 2.90-3.02, 3 Fe 2.99, 3 Y 3.18
Y 0.8594 0.8594 0.8594  9 Co 2.90-3.02, 3 Fe 2.99, 3 Y 3.18

Calculated values
As for the space group: No. 166. The total energy comes out at -0.53351 Ry per atom. The calculation puts the formation energy at -17 kJ per mole of atoms.

---

Entry 2:
# NaTmBeTe3

NaTmBeTe3 after structural relaxation (PBE, OQMD via LeMat-Bulk).

Unit cell a=7.5617 b=7.5617 c=11.4472 alpha=90.00 beta=90.00 gamma=148.07
With the nearest neighbours (Å) after each atom.
Fractional coordinates of all 12 atoms:
Be 0.5337 0.4663 0.2500  4 Te 2.47-2.59
Be 0.4663 0.5337 0.7500  4 Te 2.47-2.59
Na 0.2450 0.7550 0.2500  6 Te 3.27-3.37
Na 0.7550 0.2450 0.7500  6 Te 3.27-3.37
Te 0.6364 0.3636 0.0776  1 Be 2.47
Te 0.9271 0.0729 0.2500  2 Be 2.59
Te 0.6364 0.3636 0.4224  1 Be 2.47
Te 0.3636 0.6364 0.5776  1 Be 2.47
Te 0.0729 0.9271 0.7500  2 Be 2.59
Te 0.3636 0.6364 0.9224  1 Be 2.47
Tm 0.0000 0.0000 0.0000  6 Te 3.01-3.05
Tm 0.0000 0.0000 0.5000  6 Te 3.01-3.05

Calculated values
As for the space group: No. 63. The total energy comes out at -0.29981 Ry per atom.